(1)
Ba3AgRu: single point on PBEsol structure, meta-GGA SCAN.

Lattice parameters (Å, degrees): 5.7379 5.7379 5.7379 90.00 90.00 90.00
Element x y z (fractional)
Ru1 0.0000 0.0000 0.0000
Ba1 0.0000 0.5000 0.0000
Ba2 0.0000 0.0000 0.5000
Ba3 0.5000 0.0000 0.0000
Ag1 0.5000 0.5000 0.5000

Values from the calculation:
Excess energy over the best structure of this formula in the dataset   0.0 meV per atom
Formation enthalpy at 0 K   5.86 kcal/mol of atoms
E   -183.6 eV/f.u.

(2)
ScMnC3: single point on PBEsol structure, meta-GGA SCAN.

Lattice parameters (Å, degrees): 3.6992 3.6992 3.6992 90.00 90.00 90.00
Element x y z (fractional)
Sc1 0.5000 0.5000 0.5000
C1 0.0000 0.5000 0.0000
C2 0.0000 0.0000 0.5000
C3 0.5000 0.0000 0.0000
Mn1 0.0000 0.0000 0.0000

Values from the calculation:
Formation enthalpy at 0 K   22.59 kcal/mol of atoms
E   -57.9 eV/f.u.

(3)
ZnSbPb2: single point on PBEsol structure, meta-GGA SCAN.

Lattice parameters (Å, degrees): 4.3689 5.2192 5.6872 117.31 112.59 90.00
Element x y z (fractional)
Pb1 0.7295 0.7295 0.4589
Pb2 0.2705 0.2705 0.5411
Sb1 0.5000 0.0000 0.0000
Zn1 0.0000 0.5000 0.0000

Values from the calculation:
Excess energy over the best structure of this formula in the dataset   49.5 meV per atom
Raw formation energy   0.1992 eV/atom
E   -201.5 eV/f.u.

(4)
Ba2YMn: single point on PBEsol structure, meta-GGA SCAN.

Lattice parameters (Å, degrees): 5.7410 5.7641 5.7410 60.13 90.00 119.87
Element x y z (fractional)
Ba1 0.0000 0.0000 0.0000
Ba2 0.2500 0.5000 0.2500
Mn1 0.5000 0.0000 0.5000
Y1 0.7500 0.5000 0.7500

Values from the calculation:
Excess energy over the best structure of this formula in the dataset   18.3 meV per atom
Formation enthalpy at 0 K   8.27 kcal/mol of atoms
E   -123.8 eV/f.u.

(5)
ScAl2Cl: single point on PBEsol structure, meta-GGA SCAN.

Lattice parameters (Å, degrees): 3.0413 5.3117 5.7655 117.43 105.29 90.00
Element x y z (fractional)
Sc1 0.2341 0.7341 0.4683
Al1 0.9890 0.9890 0.9780
Al2 0.7438 0.2438 0.4877
Cl1 0.5330 0.5330 0.0660

Values from the calculation:
Excess energy over the best structure of this formula in the dataset   0.0 meV per atom
Raw formation energy   -0.3941 eV/atom
E   -39.3 eV/f.u.

(6)
LiScPdF2: single point on PBEsol structure, meta-GGA SCAN.

Lattice parameters (Å, degrees): 3.9799 3.9799 5.3461 90.00 90.00 90.00
Element x y z (fractional)
Sc1 0.0000 0.0000 0.0000
Li1 0.5000 0.5000 0.5000
Pd1 0.0000 0.0000 0.5000
F1 0.0000 0.5000 0.0000
F2 0.5000 0.0000 0.0000

Values from the calculation:
Raw formation energy   -2.1704 eV/atom
E   -67.3 eV/f.u.

(7)
TaTe4Os: single point on PBEsol structure, meta-GGA SCAN.

Lattice parameters (Å, degrees): 3.7409 12.3071 13.0431 90.00 90.00 90.00
Element x y z (fractional)
Ta1 0.5000 0.9457 0.5068
Ta2 0.0000 0.0543 0.0068
Ta3 0.5000 0.7182 0.9894
Ta4 0.0000 0.2818 0.4894
Te1 0.5000 0.9284 0.8934
Te2 0.0000 0.0716 0.3934
Te3 0.5000 0.8090 0.3454
Te4 0.0000 0.1910 0.8454
Te5 0.5000 0.6600 0.5941
Te6 0.0000 0.3400 0.0941
Te7 0.5000 0.5764 0.1453
Te8 0.0000 0.4236 0.6453
Te9 0.5000 0.4298 0.8953
Te10 0.0000 0.5702 0.3953
Te11 0.5000 0.3287 0.3409
Te12 0.0000 0.6713 0.8409
Te13 0.5000 0.1568 0.6073
Te14 0.0000 0.8432 0.1073
Te15 0.5000 0.1023 0.1549
Te16 0.0000 0.8977 0.6549
Os1 0.5000 0.4608 0.5036
Os2 0.0000 0.5392 0.0036
Os3 0.5000 0.2305 0.9876
Os4 0.0000 0.7695 0.4876

Values from the calculation:
Raw formation energy   -0.2614 eV/atom
E   -289.0 eV/f.u.

(8)
Ca2SbPO: single point on PBEsol structure, meta-GGA SCAN.

Lattice parameters (Å, degrees): 4.1633 4.8593 4.8593 90.00 90.00 90.00
Element x y z (fractional)
Sb1 0.5000 0.5000 0.5000
Ca1 0.0000 0.0000 0.5000
Ca2 0.0000 0.5000 0.0000
O1 0.0000 0.0000 0.0000
P1 0.5000 0.0000 0.0000

Values from the calculation:
Raw formation energy   -1.2266 eV/atom
E   -79.4 eV/f.u.

(9)
BeNiAs: single point on PBEsol structure, meta-GGA SCAN.

Lattice parameters (Å, degrees): 3.7541 3.7541 3.7541 60.00 60.00 60.00
Element x y z (fractional)
Ni1 0.2500 0.2500 0.2500
As1 0.0000 0.0000 0.0000
Be1 0.5000 0.5000 0.5000

Values from the calculation:
Formation enthalpy at 0 K   -7.74 kcal/mol of atoms
E   -41.7 eV/f.u.

(10)
GaSiSe2Br: single point on PBEsol structure, meta-GGA SCAN.

Lattice parameters (Å, degrees): 4.7882 4.7882 5.2089 90.00 90.00 90.00
Element x y z (fractional)
Ga1 0.5000 0.5000 0.5000
Si1 0.0000 0.0000 0.0000
Se1 0.0000 0.5000 0.0000
Se2 0.5000 0.0000 0.0000
Br1 0.0000 0.0000 0.5000

Values from the calculation:
Raw formation energy   0.0520 eV/atom
E   -85.7 eV/f.u.

(11)
LiSbCl: single point on PBEsol structure, meta-GGA SCAN.

Lattice parameters (Å, degrees): 4.8636 4.8636 4.8636 60.00 60.00 60.00
Element x y z (fractional)
Sb1 0.5000 0.5000 0.5000
Cl1 0.2500 0.2500 0.2500
Li1 0.0000 0.0000 0.0000

Values from the calculation:
Excess energy over the best structure of this formula in the dataset   124.2 meV per atom
Raw formation energy   0.1128 eV/atom
E   -47.3 eV/f.u.

(12)
Y5Tl3: single point on PBEsol structure, meta-GGA SCAN.

Lattice parameters (Å, degrees): 5.0227 6.7642 6.7642 107.04 90.00 90.00
Element x y z (fractional)
Y1 0.0000 0.0000 0.0000
Y2 0.0000 0.0000 0.5000
Y3 0.0000 0.5000 0.0000
Y4 0.5000 0.2880 0.2880
Y5 0.5000 0.7120 0.7120
Tl1 0.0000 0.5000 0.5000
Tl2 0.5000 0.7996 0.2004
Tl3 0.5000 0.2004 0.7996

Values from the calculation:
Excess energy over the best structure of this formula in the dataset   116.7 meV per atom
Formation enthalpy at 0 K   -11.28 kcal/mol of atoms
E   -360.2 eV/f.u.

(13)
TiW3C: single point on PBEsol structure, meta-GGA SCAN.

Lattice parameters (Å, degrees): 4.1434 4.1434 4.1434 90.00 90.00 90.00
Element x y z (fractional)
C1 0.0000 0.0000 0.0000
W1 0.0000 0.5000 0.0000
W2 0.0000 0.0000 0.5000
W3 0.5000 0.0000 0.0000
Ti1 0.5000 0.5000 0.5000

Values from the calculation:
Excess energy over the best structure of this formula in the dataset   0.0 meV per atom
Formation enthalpy at 0 K   3.72 kcal/mol of atoms
E   -234.4 eV/f.u.

(14)
Rb3TcSn: single point on PBEsol structure, meta-GGA SCAN.

Lattice parameters (Å, degrees): 6.9036 6.9036 6.9036 90.00 90.00 90.00
Element x y z (fractional)
Sn1 0.0000 0.0000 0.0000
Rb1 0.0000 0.5000 0.0000
Rb2 0.0000 0.0000 0.5000
Rb3 0.5000 0.0000 0.0000
Tc1 0.5000 0.5000 0.5000

Values from the calculation:
Excess energy over the best structure of this formula in the dataset   0.0 meV per atom
Formation enthalpy at 0 K   27.26 kcal/mol of atoms
E   -127.3 eV/f.u.

(15)
MgNiRu2: single point on PBEsol structure, meta-GGA SCAN.

Lattice parameters (Å, degrees): 2.9255 2.9255 6.3132 90.00 90.00 90.00
Element x y z (fractional)
Mg1 0.5000 0.5000 0.0000
Ni1 0.5000 0.5000 0.5000
Ru1 0.0000 0.0000 0.7130
Ru2 0.0000 0.0000 0.2870

Values from the calculation:
Formation enthalpy at 0 K   4.65 kcal/mol of atoms
E   -90.0 eV/f.u.

(16)
LaTc3Au: single point on PBEsol structure, meta-GGA SCAN.

Lattice parameters (Å, degrees): 4.6447 4.6447 4.6447 90.00 90.00 90.00
Element x y z (fractional)
Au1 0.5000 0.5000 0.5000
Tc1 0.0000 0.5000 0.0000
Tc2 0.0000 0.0000 0.5000
Tc3 0.5000 0.0000 0.0000
La1 0.0000 0.0000 0.0000

Values from the calculation:
Formation enthalpy at 0 K   50.24 kcal/mol of atoms
E   -206.5 eV/f.u.

(17)
ZrGaAsBr2: single point on PBEsol structure, meta-GGA SCAN.

Lattice parameters (Å, degrees): 5.2091 5.2534 5.2534 90.00 90.00 90.00
Element x y z (fractional)
As1 0.5000 0.0000 0.0000
Ga1 0.5000 0.5000 0.5000
Br1 0.0000 0.0000 0.5000
Br2 0.0000 0.5000 0.0000
Zr1 0.0000 0.0000 0.0000

Values from the calculation:
Raw formation energy   -0.4972 eV/atom
E   -108.6 eV/f.u.

(18)
CdTcRu2: single point on PBEsol structure, meta-GGA SCAN.

Lattice parameters (Å, degrees): 2.7215 2.7215 7.9863 90.00 90.00 90.00
Element x y z (fractional)
Cd1 0.5000 0.5000 0.7545
Ru1 0.0000 0.0000 0.0233
Ru2 0.5000 0.5000 0.2456
Tc1 0.0000 0.0000 0.4766

Values from the calculation:
Formation enthalpy at 0 K   6.71 kcal/mol of atoms
E   -134.0 eV/f.u.

(19)
CaCr2P: single point on PBEsol structure, meta-GGA SCAN.

Lattice parameters (Å, degrees): 3.9866 3.9866 4.3473 90.00 90.00 96.59
Element x y z (fractional)
Ca1 0.0000 0.0000 0.5000
Cr1 0.6577 0.3423 0.0000
Cr2 0.3423 0.6577 0.0000
P1 0.5000 0.5000 0.5000

Values from the calculation:
Formation enthalpy at 0 K   6.04 kcal/mol of atoms
E   -55.8 eV/f.u.

(20)
TaNiOs: single point on PBEsol structure, meta-GGA SCAN.

Lattice parameters (Å, degrees): 4.2519 4.2519 5.2744 90.00 90.00 120.00
Element x y z (fractional)
Ni1 0.6667 0.3333 0.7500
Ni2 0.3333 0.6667 0.2500
Os1 0.0000 0.0000 0.0000
Os2 0.0000 0.0000 0.5000
Ta1 0.6667 0.3333 0.2500
Ta2 0.3333 0.6667 0.7500

Values from the calculation:
Formation enthalpy at 0 K   -9.75 kcal/mol of atoms
E   -155.9 eV/f.u.

(21)
ZrWCl2: single point on PBEsol structure, meta-GGA SCAN.

Lattice parameters (Å, degrees): 2.9199 3.7762 5.8683 90.00 90.00 90.00
Element x y z (fractional)
Zr1 0.5000 0.5000 0.5000
W1 0.5000 0.5000 0.0000
Cl1 0.0000 0.0000 0.7482
Cl2 0.0000 0.0000 0.2518

Values from the calculation:
Excess energy over the best structure of this formula in the dataset   595.4 meV per atom
Raw formation energy   0.6919 eV/atom
E   -113.6 eV/f.u.

(22)
CaTlRu: single point on PBEsol structure, meta-GGA SCAN.

Lattice parameters (Å, degrees): 3.3369 3.3369 6.7179 90.00 90.00 120.00
Element x y z (fractional)
Ru1 0.6667 0.3333 0.6629
Tl1 0.3333 0.6667 0.3701
Ca1 0.0000 0.0000 0.9670

Values from the calculation:
Formation enthalpy at 0 K   8.49 kcal/mol of atoms
E   -115.7 eV/f.u.

(23)
Cr2NiMo: single point on PBEsol structure, meta-GGA SCAN.

Lattice parameters (Å, degrees): 3.1030 4.0240 4.6291 115.76 109.58 90.00
Element x y z (fractional)
Cr1 0.0154 0.0154 0.0308
Cr2 0.7410 0.2410 0.4819
Mo1 0.4890 0.4890 0.9780
Ni1 0.2546 0.7546 0.5092

Values from the calculation:
Formation enthalpy at 0 K   4.37 kcal/mol of atoms
E   -87.1 eV/f.u.

(24)
Sn2S3: single point on PBEsol structure, meta-GGA SCAN.

Lattice parameters (Å, degrees): 3.7672 8.7406 13.7634 90.00 90.00 90.00
Element x y z (fractional)
Sn1 0.2500 0.1683 0.9483
Sn2 0.7500 0.8317 0.0517
Sn3 0.2500 0.6683 0.5517
Sn4 0.7500 0.3317 0.4483
Sn5 0.2500 0.5051 0.1696
Sn6 0.7500 0.4949 0.8304
Sn7 0.2500 0.0051 0.3304
Sn8 0.7500 0.9949 0.6696
S1 0.2500 0.0174 0.1092
S2 0.7500 0.9826 0.8908
S3 0.2500 0.5174 0.3908
S4 0.7500 0.4826 0.6092
S5 0.2500 0.6551 0.9922
S6 0.7500 0.3449 0.0078
S7 0.2500 0.1551 0.5078
S8 0.7500 0.8449 0.4922
S9 0.2500 0.2929 0.7849
S10 0.7500 0.7071 0.2151
S11 0.2500 0.7929 0.7151
S12 0.7500 0.2071 0.2849

Values from the calculation:
Raw formation energy   -0.4164 eV/atom
E   -102.8 eV/f.u.

(25)
ScCI2O: single point on PBEsol structure, meta-GGA SCAN.

Lattice parameters (Å, degrees): 3.3993 5.2125 5.2125 90.00 90.00 90.00
Element x y z (fractional)
I1 0.0000 0.0000 0.5000
I2 0.0000 0.5000 0.0000
Sc1 0.5000 0.5000 0.5000
C1 0.0000 0.0000 0.0000
O1 0.5000 0.0000 0.0000

Values from the calculation:
Excess energy over the best structure of this formula in the dataset   481.4 meV per atom
Raw formation energy   0.6420 eV/atom
E   -100.8 eV/f.u.

(26)
AlAu: single point on PBEsol structure, meta-GGA SCAN.

Lattice parameters (Å, degrees): 4.2291 4.2291 5.2703 66.35 66.35 60.00
Element x y z (fractional)
Au1 0.2847 0.2847 0.1458
Au2 0.7153 0.7153 0.8542
Al1 0.1041 0.1041 0.6877
Al2 0.8959 0.8959 0.3123

Values from the calculation:
Formation enthalpy at 0 K   -13.02 kcal/mol of atoms
E   -78.0 eV/f.u.

| no. | M_tot (Bohr magnetons per cell) |
| --- | --- |
| 1 | 0.000 |
| 2 | 0.000 |
| 3 | 0.000 |
| 4 | 3.847 |
| 5 | 0.006 |
| 6 | 0.000 |
| 7 | 0.000 |
| 8 | 0.000 |
| 9 | 0.000 |
| 10 | 0.000 |
| 11 | 1.013 |
| 12 | 0.143 |
| 13 | 0.000 |
| 14 | 6.035 |
| 15 | 0.000 |
| 16 | 3.231 |
| 17 | 0.000 |
| 18 | 0.001 |
| 19 | 0.003 |
| 20 | 0.000 |
| 21 | 0.000 |
| 22 | 0.000 |
| 23 | 0.002 |
| 24 | 0.000 |
| 25 | 0.000 |
| 26 | 0.000 |